Record 1
DFT (PBE) results for crystalline Ba2CaZr at its relaxed geometry.

Unit cell a=3.768 b=6.104 c=7.426 alpha=90.00 beta=99.25 gamma=90.00
Positions (direct):
1 Ba 0.000 0.000 0.000
2 Ba 0.219 0.500 0.673
3 Ca 0.607 0.500 0.228
4 Zr 0.625 0.000 0.460

Results
distance to the lowest polymorph of the same formula = 0.32 eV per formula unit
size of the total moment = 1.88 Bohr magnetons per cell
V = 168.6 Å³ per cell

Record 2
DFT (PBE) results for crystalline NiMo2Os at its relaxed geometry.

Unit cell a=4.687 b=4.687 c=4.687 alpha=131.07 beta=131.07 gamma=71.70
Positions (direct):
1 Ni 0.000 0.000 0.000
2 Mo 0.500 0.500 0.000
3 Mo 0.750 0.250 0.500
4 Os 0.250 0.750 0.500

Results
distance to the lowest polymorph of the same formula = 0.39 eV per formula unit
size of the total moment = 0.00 Bohr magnetons per cell
V = 57.3 Å³ per cell